[1]
Material: Ba2ScAlTe5
Method: DFT, PBE-GGA
State: optimized geometry

abc: 10.4622 10.4622 14.1243
angles: 90.00 90.00 155.50
Positions (direct):
Ba (0.1231, 0.8769, 0.5000)
Ba (0.1267, 0.8733, 0.1303)
Ba (0.8733, 0.1267, 0.6303)
Ba (0.8769, 0.1231, 0.0000)
Sc (0.2078, 0.7922, 0.8377)
Sc (0.7922, 0.2078, 0.3377)
Al (0.4329, 0.5671, 0.2456)
Al (0.5671, 0.4329, 0.7456)
Te (0.0545, 0.9455, 0.8545)
Te (0.2940, 0.7060, 0.4734)
Te (0.3081, 0.6919, 0.1898)
Te (0.3467, 0.6533, 0.8169)
Te (0.4975, 0.5025, 0.0876)
Te (0.5025, 0.4975, 0.5876)
Te (0.6533, 0.3467, 0.3169)
Te (0.6919, 0.3081, 0.6898)
Te (0.7060, 0.2940, 0.9734)
Te (0.9455, 0.0545, 0.3545)

E in eV/atom: -4.57
Total magnetization in μB per formula unit: 0.00
E_form (uncorrected) in eV/atom: -1.2770

---

[2]
Material: BaAl2Se
Method: DFT, PBE-GGA
State: optimized geometry

abc: 3.8895 3.8895 6.9048
angles: 90.00 90.00 90.00
Positions (direct):
Ba (0.0000, 0.0000, 0.0000)
Al (0.0000, 0.0000, 0.5237)
Al (0.5000, 0.5000, 0.6647)
Se (0.5000, 0.5000, 0.2964)

E in eV/atom: -3.63
Total magnetization in μB per formula unit: 0.00
E_form (uncorrected) in eV/atom: -0.4044

---

[3]
Material: BaAlSe
Method: DFT, PBE-GGA
State: optimized geometry

abc: 4.8734 4.8734 4.4633
angles: 90.00 90.00 120.00
Positions (direct):
Ba (0.0000, 0.0000, 0.0000)
Al (0.3333, 0.6667, 0.5000)
Se (0.6667, 0.3333, 0.5000)

E in eV/atom: -3.79
Total magnetization in μB per formula unit: 0.00
Energy above the most stable polymorph in this dataset in meV/atom: 0
E_form (uncorrected) in eV/atom: -0.7400

---

[4]
Material: Ba5AlSe8
Method: DFT, PBE-GGA
State: optimized geometry

abc: 8.5758 8.5758 8.5758
angles: 114.16 114.16 100.45
Positions (direct):
Ba (0.0000, 0.0000, 0.0000)
Ba (0.1210, 0.2506, 0.6033)
Ba (0.4824, 0.8790, 0.1296)
Ba (0.6472, 0.5176, 0.3967)
Ba (0.7494, 0.3528, 0.8704)
Al (0.2500, 0.7500, 0.5000)
Se (0.0181, 0.6034, 0.7981)
Se (0.2403, 0.5581, 0.1852)
Se (0.3729, 0.0551, 0.8148)
Se (0.3966, 0.1948, 0.4148)
Se (0.4419, 0.6271, 0.6822)
Se (0.7800, 0.9819, 0.5852)
Se (0.8052, 0.2200, 0.2019)
Se (0.9449, 0.7597, 0.3178)

E in eV/atom: -4.33
Total magnetization in μB per formula unit: 2.62
E_form (uncorrected) in eV/atom: -1.3849

---

[5]
Material: BaAl2Se
Method: DFT, PBE-GGA
State: optimized geometry

abc: 6.2948 6.2948 6.2948
angles: 137.01 136.02 63.19
Positions (direct):
Ba (0.0000, 0.0000, 0.0000)
Al (0.3755, 0.3755, 0.0000)
Al (0.7402, 0.2402, 0.5000)
Se (0.2508, 0.7508, 0.5000)

E in eV/atom: -3.59
Total magnetization in μB per formula unit: 0.00
E_form (uncorrected) in eV/atom: -0.3703

---

[6]
Material: Ba2AlSe
Method: DFT, PBE-GGA
State: optimized geometry

abc: 5.8640 5.8640 5.8640
angles: 60.00 60.00 60.00
Positions (direct):
Ba (0.2500, 0.2500, 0.2500)
Ba (0.7500, 0.7500, 0.7500)
Al (0.0000, 0.0000, 0.0000)
Se (0.5000, 0.5000, 0.5000)

E in eV/atom: -3.36
Total magnetization in μB per formula unit: 2.58
Energy above the most stable polymorph in this dataset in meV/atom: 241
E_form (uncorrected) in eV/atom: -0.5934

---

Question: Which formula does entry 5 have?
Answer: BaAl2Se